(1)
# SrSi2GeSe8 GGA-PBE relaxed
# - Formation energy without anion corrections: -0.4279 eV per atom
# - V: 304.3 Å³ per cell
# - Fermi-level density of states: 8.207 states/eV/cell
# - Total magnetization: 0.00 μB/f.u.
data_SrSi2GeSe8
_space_group_name_H-M_alt 'P -3'
_space_group_IT_number 147
_cell_length_a 6.1684
_cell_length_b 6.1684
_cell_length_c 9.2358
_cell_angle_alpha 90.00
_cell_angle_beta 90.00
_cell_angle_gamma 120.00
loop_
_space_group_symop_operation_xyz
'x,y,z'
'-x,-y,-z'
'-y,x-y,z'
'y,-x+y,-z'
'-x+y,-x,z'
'x-y,x,-z'
loop_
_atom_site_label
_atom_site_fract_x
_atom_site_fract_y
_atom_site_fract_z
Sr1 0.0000 0.0000 0.0000
Si1 0.3333 0.6667 0.7453
Ge1 0.0000 0.0000 0.5000
Se1 0.0299 0.6971 0.3181
Se2 0.3333 0.6667 0.9909

(2)
# SrSiGeSe2 GGA-PBE relaxed
# - Formation energy without anion corrections: 0.7987 eV per atom
# - V: 177.8 Å³ per cell
# - Fermi-level density of states: 4.875 states/eV/cell
# - Total magnetization: 0.00 μB/f.u.
data_SrSiGeSe2
_space_group_name_H-M_alt 'P 4/m m m'
_space_group_IT_number 123
_space_group_name_Hall '-P 4 2'
_cell_length_a 5.669
_cell_length_b 5.669
_cell_length_c 5.534
_cell_angle_alpha 90.00
_cell_angle_beta 90.00
_cell_angle_gamma 90.00
loop_
_atom_site_label
_atom_site_fract_x
_atom_site_fract_y
_atom_site_fract_z
Sr1 0.000 0.000 0.000
Si1 0.000 0.000 0.500
Ge1 0.500 0.500 0.500
Se1 0.000 0.500 0.000

(3)
# Tb6Si2GeSe3 GGA-PBE relaxed
# - Formation energy without anion corrections: -1.3392 eV per atom
# - V: 603.9 Å³ per cell
# - Fermi-level density of states: 5.943 states/eV/cell
# - Total magnetization: 0.00 μB/f.u.
data_Tb6Si2GeSe3
_space_group_name_H-M_alt 'C 1 2/m 1'
_space_group_IT_number 12
_cell_length_a 18.109
_cell_length_b 4.135
_cell_length_c 8.316
_cell_angle_alpha 90.00
_cell_angle_beta 104.11
_cell_angle_gamma 90.00
loop_
_space_group_symop_operation_xyz
'x,y,z'
'-x,-y,-z'
'-x,y,-z'
'x,-y,z'
'x+1/2,y+1/2,z'
'-x+1/2,-y+1/2,-z'
'-x+1/2,y+1/2,-z'
'x+1/2,-y+1/2,z'
loop_
_atom_site_label
_atom_site_fract_x
_atom_site_fract_y
_atom_site_fract_z
Tb1 0.003 0.000 0.244
Tb2 0.165 0.500 0.092
Tb3 0.170 0.500 0.576
Si1 0.167 0.000 0.333
Ge1 0.000 0.500 0.000
Se1 0.000 0.500 0.500
Se2 0.167 0.000 0.833

(4)
# Tb4SiGeSe2 GGA-PBE relaxed
# - Formation energy without anion corrections: -1.3746 eV per atom
# - V: 400.2 Å³ per cell
# - Fermi-level density of states: 3.357 states/eV/cell
# - Total magnetization: 0.00 μB/f.u.
data_Tb4SiGeSe2
_space_group_name_H-M_alt 'I -4 m 2'
_space_group_IT_number 119
_space_group_name_Hall 'I -4 -2'
_cell_length_a 5.835
_cell_length_b 5.835
_cell_length_c 11.756
_cell_angle_alpha 90.00
_cell_angle_beta 90.00
_cell_angle_gamma 90.00
loop_
_atom_site_label
_atom_site_fract_x
_atom_site_fract_y
_atom_site_fract_z
Tb1 0.000 0.000 0.245
Tb2 0.000 0.500 0.003
Si1 0.000 0.000 0.000
Ge1 0.000 0.500 0.250
Se1 0.000 0.000 0.500
Se2 0.000 0.500 0.750

(5)
# Si2TcGeSe GGA-PBE relaxed
# - Formation energy without anion corrections: 1.2942 eV per atom
# - V: 109.4 Å³ per cell
# - Fermi-level density of states: 4.955 states/eV/cell
# - Total magnetization: 0.85 μB/f.u.
data_Si2TcGeSe
_space_group_name_H-M_alt 'P 4/m m m'
_space_group_IT_number 123
_space_group_name_Hall '-P 4 2'
_cell_length_a 4.882
_cell_length_b 4.882
_cell_length_c 4.588
_cell_angle_alpha 90.00
_cell_angle_beta 90.00
_cell_angle_gamma 90.00
loop_
_atom_site_label
_atom_site_fract_x
_atom_site_fract_y
_atom_site_fract_z
Si1 0.000 0.500 0.000
Tc1 0.000 0.000 0.500
Ge1 0.500 0.500 0.500
Se1 0.000 0.000 0.000

(6)
# SiGeTeSe GGA-PBE relaxed
# - Formation energy without anion corrections: 0.0150 eV per atom
# - V: 243.8 Å³ per cell
# - Offset from the most stable computed form: 109.8 meV per atom
# - Fermi-level density of states: 0.094 states/eV/cell
# - Total magnetization: 0.00 μB/f.u.
data_SiGeTeSe
_space_group_name_H-M_alt 'C 1 m 1'
_space_group_IT_number 8
_cell_length_a 10.564
_cell_length_b 3.811
_cell_length_c 7.408
_cell_angle_alpha 90.00
_cell_angle_beta 125.16
_cell_angle_gamma 90.00
loop_
_space_group_symop_operation_xyz
'x,y,z'
'x,-y,z'
'x+1/2,y+1/2,z'
'x+1/2,-y+1/2,z'
loop_
_atom_site_label
_atom_site_fract_x
_atom_site_fract_y
_atom_site_fract_z
Si1 0.000 0.000 0.000
Ge1 0.060 0.000 0.700
Te1 0.111 0.500 0.285
Se1 0.253 0.500 0.947

(7)
# SiGeTeSe GGA-PBE relaxed
# - Formation energy without anion corrections: 0.0282 eV per atom
# - V: 263.4 Å³ per cell
# - Offset from the most stable computed form: 123.1 meV per atom
# - Fermi-level density of states: 0.955 states/eV/cell
# - Total magnetization: 0.00 μB/f.u.
data_SiGeTeSe
_space_group_name_H-M_alt 'C 1 m 1'
_space_group_IT_number 8
_cell_length_a 10.745
_cell_length_b 3.724
_cell_length_c 6.592
_cell_angle_alpha 90.00
_cell_angle_beta 93.20
_cell_angle_gamma 90.00
loop_
_space_group_symop_operation_xyz
'x,y,z'
'x,-y,z'
'x+1/2,y+1/2,z'
'x+1/2,-y+1/2,z'
loop_
_atom_site_label
_atom_site_fract_x
_atom_site_fract_y
_atom_site_fract_z
Si1 0.000 0.000 0.000
Ge1 0.127 0.000 0.687
Te1 0.308 0.500 0.727
Se1 0.485 0.000 0.219

(8)
# SiGeTeSe GGA-PBE relaxed
# - Formation energy without anion corrections: -0.0237 eV per atom
# - V: 207.0 Å³ per cell
# - Offset from the most stable computed form: 71.1 meV per atom
# - Fermi-level density of states: 0.112 states/eV/cell
# - Total magnetization: 0.00 μB/f.u.
data_SiGeTeSe
_space_group_name_H-M_alt 'C 1 m 1'
_space_group_IT_number 8
_cell_length_a 10.809
_cell_length_b 3.944
_cell_length_c 4.863
_cell_angle_alpha 90.00
_cell_angle_beta 92.92
_cell_angle_gamma 90.00
loop_
_space_group_symop_operation_xyz
'x,y,z'
'x,-y,z'
'x+1/2,y+1/2,z'
'x+1/2,-y+1/2,z'
loop_
_atom_site_label
_atom_site_fract_x
_atom_site_fract_y
_atom_site_fract_z
Si1 0.000 0.000 0.000
Ge1 0.298 0.500 0.635
Te1 0.011 0.500 0.362
Se1 0.219 0.000 0.942

(9)
# SiGeTeSe GGA-PBE relaxed
# - Formation energy without anion corrections: -0.0323 eV per atom
# - V: 234.1 Å³ per cell
# - Offset from the most stable computed form: 62.5 meV per atom
# - Total magnetization: 0.00 μB/f.u.
data_SiGeTeSe
_space_group_name_H-M_alt 'C 1 m 1'
_space_group_IT_number 8
_cell_length_a 11.388
_cell_length_b 3.744
_cell_length_c 5.524
_cell_angle_alpha 90.00
_cell_angle_beta 96.39
_cell_angle_gamma 90.00
loop_
_space_group_symop_operation_xyz
'x,y,z'
'x,-y,z'
'x+1/2,y+1/2,z'
'x+1/2,-y+1/2,z'
loop_
_atom_site_label
_atom_site_fract_x
_atom_site_fract_y
_atom_site_fract_z
Si1 0.000 0.000 0.000
Ge1 0.222 0.000 0.055
Te1 0.285 0.500 0.736
Se1 0.487 0.000 0.272

(10)
# SiGeTeSe GGA-PBE relaxed
# - Formation energy without anion corrections: -0.0113 eV per atom
# - V: 101.5 Å³ per cell
# - Offset from the most stable computed form: 83.6 meV per atom
# - Fermi-level density of states: 0.311 states/eV/cell
# - Total magnetization: 0.00 μB/f.u.
data_SiGeTeSe
_space_group_name_H-M_alt 'P 1 m 1'
_space_group_IT_number 6
_cell_length_a 4.222
_cell_length_b 4.037
_cell_length_c 5.967
_cell_angle_alpha 90.00
_cell_angle_beta 93.27
_cell_angle_gamma 90.00
loop_
_space_group_symop_operation_xyz
'x,y,z'
'x,-y,z'
loop_
_atom_site_label
_atom_site_fract_x
_atom_site_fract_y
_atom_site_fract_z
Si1 0.000 0.000 0.000
Ge1 0.479 0.500 0.437
Te1 0.554 0.500 0.950
Se1 0.066 0.000 0.415

(11)
# SiGeTeSe GGA-PBE relaxed
# - Formation energy without anion corrections: -0.0871 eV per atom
# - V: 132.1 Å³ per cell
# - Offset from the most stable computed form: 7.8 meV per atom
# - Fermi-level density of states: 0.532 states/eV/cell
# - Total magnetization: 0.00 μB/f.u.
data_SiGeTeSe
_space_group_name_H-M_alt 'P 1'
_space_group_IT_number 1
_cell_length_a 4.247
_cell_length_b 4.887
_cell_length_c 7.481
_cell_angle_alpha 107.14
_cell_angle_beta 91.35
_cell_angle_gamma 115.28
loop_
_space_group_symop_operation_xyz
'x,y,z'
loop_
_atom_site_label
_atom_site_fract_x
_atom_site_fract_y
_atom_site_fract_z
Si1 0.000 0.000 0.000
Ge1 0.356 0.708 0.998
Te1 0.052 0.165 0.707
Se1 0.238 0.476 0.252

(12)
# SiGeTeSe GGA-PBE relaxed
# - Formation energy without anion corrections: -0.0922 eV per atom
# - V: 217.6 Å³ per cell
# - Offset from the most stable computed form: 2.7 meV per atom
# - Fermi-level density of states: 0.078 states/eV/cell
# - Total magnetization: 0.00 μB/f.u.
data_SiGeTeSe
_space_group_name_H-M_alt 'C 1 m 1'
_space_group_IT_number 8
_cell_length_a 6.685
_cell_length_b 3.865
_cell_length_c 8.727
_cell_angle_alpha 90.00
_cell_angle_beta 105.18
_cell_angle_gamma 90.00
loop_
_space_group_symop_operation_xyz
'x,y,z'
'x,-y,z'
'x+1/2,y+1/2,z'
'x+1/2,-y+1/2,z'
loop_
_atom_site_label
_atom_site_fract_x
_atom_site_fract_y
_atom_site_fract_z
Si1 0.000 0.000 0.000
Ge1 0.094 0.500 0.790
Te1 0.393 0.000 0.176
Se1 0.207 0.000 0.633